(1)
{
  "formula": "Nd10Er6Tm",
  "functional": "GGA-PBE",
  "state": "relaxed",
  "cell": [[-5.724, 2.888, -2.528], [-2.110, -8.331, -4.740], [-3.312, 1.427, 9.128]],
  "species": ["Er", "Nd", "Er", "Nd", "Nd", "Nd", "Er", "Nd", "Er", "Nd", "Tm", "Er", "Nd", "Nd", "Nd", "Er", "Nd"],
  "frac_coords": [[0.313, 0.000, 0.368], [0.500, 0.667, 0.333], [0.687, 0.632, 0.000], [0.817, 0.725, 0.725], [0.500, 0.333, 0.667], [0.183, 0.725, 0.000], [0.687, 0.000, 0.632], [0.000, 0.333, 0.667], [0.313, 0.632, 0.632], [0.183, 0.275, 0.275], [0.500, 0.000, 0.000], [0.687, 0.368, 0.368], [0.817, 0.000, 0.275], [0.000, 0.667, 0.333], [0.817, 0.275, 0.000], [0.313, 0.368, 0.000], [0.183, 0.000, 0.725]],
  "delta_e_f_ev_per_atom": 0.126,
  "space_group": "No. 162",
  "magnetic_moment_mub_per_fu": 0.00
}


(2)
{
  "formula": "Nd2Er9Tm",
  "functional": "GGA-PBE",
  "state": "relaxed",
  "cell": [[-1.821, 0.028, -4.654], [-1.923, -4.555, 0.725], [-12.714, 6.165, 5.012]],
  "species": ["Er", "Nd", "Er", "Er", "Er", "Nd", "Er", "Tm", "Er", "Er", "Er", "Er"],
  "frac_coords": [[0.500, 0.500, 0.668], [0.000, 0.000, 0.667], [0.000, 0.500, 0.164], [0.500, 0.000, 0.164], [0.500, 0.500, 0.000], [0.000, 0.000, 0.333], [0.500, 0.000, 0.500], [0.000, 0.000, 0.000], [0.500, 0.000, 0.836], [0.000, 0.500, 0.500], [0.000, 0.500, 0.836], [0.500, 0.500, 0.332]],
  "delta_e_f_ev_per_atom": 0.026,
  "space_group": "No. 123",
  "magnetic_moment_mub_per_fu": 0.00,
  "e_above_lowest_polymorph_ev_per_atom": 0.0000
}


(3)
{
  "formula": "Nd2Er3Tm6",
  "functional": "GGA-PBE",
  "state": "relaxed",
  "cell": [[-0.438, -2.052, 4.200], [-0.793, -4.125, -2.097], [16.740, -0.081, -0.918]],
  "species": ["Tm", "Nd", "Er", "Tm", "Tm", "Er", "Er", "Tm", "Tm", "Tm", "Nd"],
  "frac_coords": [[0.123, 0.623, 0.245], [0.546, 0.546, 0.093], [0.000, 0.000, 0.000], [0.623, 0.123, 0.245], [0.877, 0.377, 0.755], [0.202, 0.202, 0.404], [0.798, 0.798, 0.596], [0.695, 0.695, 0.390], [0.377, 0.877, 0.755], [0.305, 0.305, 0.610], [0.454, 0.454, 0.907]],
  "delta_e_f_ev_per_atom": 0.275,
  "space_group": "No. 139",
  "magnetic_moment_mub_per_fu": 0.00,
  "e_above_lowest_polymorph_ev_per_atom": 0.0865
}


(4)
{
  "formula": "Nd6Er2Tm",
  "functional": "GGA-PBE",
  "state": "relaxed",
  "cell": [[6.701, -0.153, -0.148], [1.787, 9.521, -1.134], [1.787, -0.825, 9.552]],
  "species": ["Nd", "Nd", "Nd", "Er", "Er", "Nd", "Nd", "Tm", "Er", "Nd", "Nd", "Nd", "Nd", "Nd", "Nd", "Er", "Nd", "Tm"],
  "frac_coords": [[0.982, 0.731, 0.359], [0.482, 0.359, 0.731], [0.298, 0.927, 0.544], [0.637, 0.659, 0.622], [0.137, 0.622, 0.659], [0.702, 0.073, 0.456], [0.184, 0.040, 0.236], [0.750, 0.892, 0.108], [0.863, 0.378, 0.341], [0.816, 0.960, 0.764], [0.798, 0.544, 0.927], [0.018, 0.269, 0.641], [0.518, 0.641, 0.269], [0.202, 0.456, 0.073], [0.684, 0.236, 0.040], [0.363, 0.341, 0.378], [0.316, 0.764, 0.960], [0.250, 0.108, 0.892]],
  "delta_e_f_ev_per_atom": 0.114,
  "space_group": "No. 15",
  "magnetic_moment_mub_per_fu": 0.00,
  "e_above_lowest_polymorph_ev_per_atom": 0.0000
}